# 1
La2MgZr | PBE | relaxed

Lattice parameters (Å, degrees): 8.6341 8.6341 6.8996 51.27 51.27 90.00
With the nearest neighbours (Å) after each atom.
Element x y z (fractional)
Mg 0.5000 0.5000 0.0000  4 La 3.17, 2 Zr 3.21
Mg 0.2500 0.7500 0.5000  4 La 3.17, 2 Zr 3.21
Zr 0.0000 0.0000 0.0000  4 La 3.14, 2 Mg 3.21
Zr 0.7500 0.2500 0.5000  4 La 3.14, 2 Mg 3.21
La 0.6275 0.1250 0.2500  2 Zr 3.14, 2 Mg 3.17, 2 La 3.21
La 0.1225 0.6250 0.2500  2 Zr 3.14, 2 Mg 3.17, 2 La 3.21
La 0.3750 0.3725 0.7500  2 Zr 3.14, 2 Mg 3.17, 2 La 3.21
La 0.8750 0.8775 0.7500  2 Zr 3.14, 2 Mg 3.17, 2 La 3.21

Properties
For the uncorrected energy, the calculation gives -4.578 eV per atom. The calculation puts the energy of formation at 0.421 eV per atom.

# 2
ReIrN3 | PBE | relaxed

Lattice parameters (Å, degrees): 3.8278 3.8278 3.8278 90.00 90.00 90.00
With the nearest neighbours (Å) after each atom.
Element x y z (fractional)
Re 0.5000 0.5000 0.5000  12 N 2.71
Ir 0.0000 0.0000 0.0000  6 N 1.91
N 0.0000 0.5000 0.0000  2 Ir 1.91
N 0.0000 0.0000 0.5000  2 Ir 1.91
N 0.5000 0.0000 0.0000  2 Ir 1.91

Properties
For the uncorrected energy, the calculation gives -7.223 eV per atom. For the uncorrected formation energy, the calculation gives 10.17 eV/f.u.

# 3
CeZn4Cu8 | PBE | relaxed

Lattice parameters (Å, degrees): 4.9168 6.6295 6.6295 82.10 68.23 68.23
With the nearest neighbours (Å) after each atom.
Element x y z (fractional)
Ce 0.0000 0.0000 0.0000  12 Cu 3.10-3.12, 8 Zn 3.31
Zn 0.0000 0.0000 0.5000  2 Zn 2.46, 8 Cu 2.51-2.67
Zn 0.5000 0.0000 0.5000  2 Zn 2.46, 8 Cu 2.51-2.67
Zn 0.0000 0.5000 0.0000  2 Zn 2.46, 8 Cu 2.51-2.67
Zn 0.5000 0.5000 0.0000  2 Zn 2.46, 8 Cu 2.51-2.67
Cu 0.0000 0.3566 0.6434  5 Cu 2.50-2.73, 4 Zn 2.67
Cu 0.0000 0.6434 0.3566  5 Cu 2.50-2.73, 4 Zn 2.67
Cu 0.3566 0.6434 0.6434  5 Cu 2.50-2.73, 4 Zn 2.67
Cu 0.6434 0.3566 0.3566  5 Cu 2.50-2.73, 4 Zn 2.67
Cu 0.5000 0.7785 0.2215  4 Zn 2.51, 6 Cu 2.73
Cu 0.5000 0.2215 0.7785  4 Zn 2.51, 6 Cu 2.73
Cu 0.2785 0.2215 0.2215  4 Zn 2.51, 6 Cu 2.73
Cu 0.7215 0.7785 0.7785  4 Zn 2.51, 6 Cu 2.73

Properties
For the uncorrected energy, the calculation gives -3.454 eV per atom. The calculation puts the energy of formation at -0.085 eV per atom.

# 4
Nd3SbPO | PBE | relaxed

Lattice parameters (Å, degrees): 4.2060 8.7994 9.1572 101.99 90.00 90.00
With the nearest neighbours (Å) after each atom.
Element x y z (fractional)
Nd 0.2500 0.8276 0.4803  3 O 2.32-2.36
Nd 0.7500 0.8861 0.1482  1 O 2.36
Nd 0.7500 0.4262 0.1582  3 P 2.86-2.92, 2 Sb 3.19
Nd 0.7500 0.1724 0.5197  3 O 2.32-2.36
Nd 0.2500 0.5738 0.8418  3 P 2.86-2.92, 2 Sb 3.19
Nd 0.2500 0.1139 0.8518  1 O 2.36
Sb 0.7500 0.8238 0.7759  7 Nd 3.19-3.43
Sb 0.2500 0.1762 0.2241  7 Nd 3.19-3.43
P 0.2500 0.6568 0.1603  6 Nd 2.86-3.00
P 0.7500 0.3432 0.8397  6 Nd 2.86-3.00
O 0.2500 0.0896 0.5899  4 Nd 2.32-2.36
O 0.7500 0.9104 0.4101  4 Nd 2.32-2.36

Properties
For the uncorrected energy, the calculation gives -6.629 eV per atom. For the uncorrected formation energy, the calculation gives -10.98 eV/f.u.

# 5
HoPuAgBi | PBE | relaxed

Lattice parameters (Å, degrees): 5.3255 5.3255 5.3255 60.00 60.00 60.00
With the nearest neighbours (Å) after each atom.
Element x y z (fractional)
Ho 0.0000 0.0000 0.0000  4 Bi 3.26, 4 Ag 3.26
Bi 0.7500 0.7500 0.7500  4 Ho 3.26, 4 Pu 3.26
Ag 0.2500 0.2500 0.2500  4 Pu 3.26, 4 Ho 3.26
Pu 0.5000 0.5000 0.5000  4 Ag 3.26, 4 Bi 3.26

Properties
For the uncorrected energy, the calculation gives -6.693 eV per atom. The calculation puts the energy of formation at -0.282 eV per atom.

# 6
Be11Tc3 | PBE | relaxed

Lattice parameters (Å, degrees): 3.2814 6.5288 6.5288 72.55 75.45 75.45
With the nearest neighbours (Å) after each atom.
Element x y z (fractional)
Be 0.6613 0.7114 0.9660  5 Be 1.97-2.08
Be 0.8548 0.4184 0.8720  5 Be 2.00-2.19
Be 0.6613 0.9660 0.7114  5 Be 1.97-2.08
Be 0.5000 0.2884 0.7116  6 Be 2.04-2.19
Be 0.1452 0.1280 0.5816  5 Be 2.00-2.19
Be 0.0000 0.5000 0.5000  8 Be 2.28-2.32, 4 Tc 2.49
Be 0.8548 0.8720 0.4184  5 Be 2.00-2.19
Be 0.5000 0.7116 0.2884  6 Be 2.04-2.19
Be 0.3387 0.0340 0.2886  5 Be 1.97-2.08
Be 0.1452 0.5816 0.1280  5 Be 2.00-2.19
Be 0.3387 0.2886 0.0340  5 Be 1.97-2.08
Tc 0.0000 0.0000 0.0000  16 Be 2.50-2.77
Tc 0.3130 0.6870 0.6870  14 Be 2.44-2.70
Tc 0.6870 0.3130 0.3130  14 Be 2.44-2.70

Properties
For the uncorrected energy, the calculation gives -5.415 eV per atom. The calculation puts the energy of formation at -0.266 eV per atom.

# 7
K2RbSr | PBE | relaxed

Lattice parameters (Å, degrees): 4.5041 4.5041 13.9241 90.00 90.00 90.00
With the nearest neighbours (Å) after each atom.
Element x y z (fractional)
Sr 0.5000 0.5000 0.5000  4 Sr 4.50, 8 K 4.54
K 0.0000 0.0000 0.7321  4 K 4.50, 4 Sr 4.54, 4 Rb 4.90
K 0.0000 0.0000 0.2679  4 K 4.50, 4 Sr 4.54, 4 Rb 4.90
Rb 0.5000 0.5000 0.0000  4 Rb 4.50, 8 K 4.90

Properties
For the uncorrected energy, the calculation gives -1.133 eV per atom. The calculation puts the energy of formation at 0.079 eV per atom. The calculation puts the distance to the lowest polymorph of the same formula at 10 meV per atom.

# 8
Be2CrFe | PBE | relaxed

Lattice parameters (Å, degrees): 4.2979 4.2979 4.2979 142.60 128.19 65.63
With the nearest neighbours (Å) after each atom.
Element x y z (fractional)
Cr 0.4980 0.4980 0.0000  4 Fe 2.31-2.57, 8 Be 2.33-2.55
Fe 0.7541 0.2541 0.5000  4 Cr 2.31-2.57, 8 Be 2.31-2.57
Be 0.0108 0.0108 0.0000  2 Be 2.14, 2 Fe 2.31, 4 Cr 2.33
Be 0.2371 0.7371 0.5000  2 Be 2.14, 4 Fe 2.33, 2 Cr 2.33

Properties
For the uncorrected energy, the calculation gives -6.405 eV per atom. The calculation puts the energy of formation at -0.020 eV per atom. The calculation puts the distance to the lowest polymorph of the same formula at 126 meV per atom.

# 9
Y3TlO | PBE | relaxed

Lattice parameters (Å, degrees): 5.8873 13.1101 6.7417 90.00 90.00 90.00
With the nearest neighbours (Å) after each atom.
Element x y z (fractional)
Y 0.0064 0.8811 0.9041  1 O 2.26
Y 0.4936 0.3811 0.4041  1 O 2.26
Y 0.4936 0.1189 0.4041  1 O 2.26
Y 0.9936 0.3811 0.0959  1 O 2.26
Y 0.9936 0.1189 0.0959  1 O 2.26
Y 0.5064 0.6189 0.5959  1 O 2.26
Y 0.5064 0.8811 0.5959  1 O 2.26
Y 0.0064 0.6189 0.9041  1 O 2.26
Y 0.4661 0.2500 0.9239  2 O 2.25
Y 0.0339 0.7500 0.4239  2 O 2.25
Y 0.5339 0.7500 0.0761  2 O 2.25
Y 0.9661 0.2500 0.5761  2 O 2.25
Tl 0.0000 0.0000 0.5000  8 Y 3.14-3.43
Tl 0.5000 0.5000 0.0000  8 Y 3.14-3.43
Tl 0.5000 0.0000 0.0000  8 Y 3.14-3.43
Tl 0.0000 0.5000 0.5000  8 Y 3.14-3.43
O 0.5848 0.2500 0.6070  4 Y 2.25-2.26
O 0.9152 0.7500 0.1070  4 Y 2.25-2.26
O 0.4152 0.7500 0.3930  4 Y 2.25-2.26
O 0.0848 0.2500 0.8930  4 Y 2.25-2.26

Properties
For the uncorrected energy, the calculation gives -6.583 eV per atom. For the uncorrected formation energy, the calculation gives -6.20 eV/f.u.

# 10
DySc2Ga2 | PBE | relaxed

Lattice parameters (Å, degrees): 3.8152 5.1458 11.8545 96.39 90.00 90.00
With the nearest neighbours (Å) after each atom.
Element x y z (fractional)
Dy 0.2500 0.6793 0.2336  3 Ga 3.04-3.40, 2 Sc 3.41
Dy 0.7500 0.3207 0.7664  3 Ga 3.04-3.40, 2 Sc 3.41
Sc 0.2500 0.8475 0.8941  5 Ga 2.65-2.79
Sc 0.7500 0.1525 0.1059  5 Ga 2.65-2.79
Sc 0.2500 0.2578 0.5270  4 Ga 2.89-3.00
Sc 0.7500 0.7422 0.4730  4 Ga 2.89-3.00
Ga 0.2500 0.7902 0.6577  5 Sc 2.78-3.00
Ga 0.7500 0.2098 0.3423  5 Sc 2.78-3.00
Ga 0.2500 0.3523 0.9677  2 Ga 2.51, 4 Sc 2.65-2.79
Ga 0.7500 0.6477 0.0323  2 Ga 2.51, 4 Sc 2.65-2.79

Properties
For the uncorrected energy, the calculation gives -5.052 eV per atom. The calculation puts the energy of formation at -0.388 eV per atom.

# 11
Sc2ZnPb | PBE | relaxed

Lattice parameters (Å, degrees): 3.9702 3.3208 7.3259 63.01 90.00 90.00
With the nearest neighbours (Å) after each atom.
Element x y z (fractional)
Pb 0.5000 0.7500 0.7500  8 Sc 3.11, 2 Zn 3.26, 2 Pb 3.32
Sc 0.0000 0.9841 0.0154  4 Zn 3.01, 3 Sc 3.06-3.32, 4 Pb 3.11
Sc 0.0000 0.5159 0.4846  4 Zn 3.01, 3 Sc 3.06-3.32, 4 Pb 3.11
Zn 0.5000 0.2500 0.2500  8 Sc 3.01, 2 Pb 3.26, 2 Zn 3.32

Properties
For the uncorrected energy, the calculation gives -4.745 eV per atom. The calculation puts the energy of formation at -0.333 eV per atom.

> Which value of uncorrected energy does entry 6 give?

-5.415 eV per atom

> The lowest uncorrected energy belongs to which entry?

ReIrN3